1.
# KZr5 | the Alexandria database | PBE | relaxed
data_KZr5
_cell_length_a 4.6542
_cell_length_b 13.9921
_cell_length_c 4.6382
_cell_angle_alpha 90.00
_cell_angle_beta 90.00
_cell_angle_gamma 90.00
_symmetry_space_group_name_H-M 'C m m m'
_symmetry_Int_Tables_number 65
_symmetry_space_group_name_Hall '-C 2 2'
loop_
_atom_site_label
_atom_site_type_symbol
_atom_site_fract_x
_atom_site_fract_y
_atom_site_fract_z
K1 K 0.0000 0.0000 0.0000
Zr1 Zr 0.0000 0.1752 0.5000
Zr2 Zr 0.0000 0.3254 0.0000
Zr3 Zr 0.0000 0.5000 0.5000
# N(E_F) ... 16.5 states/eV per cell
# Relative energy among the computed polymorphs ... 191 meV per atom

---

2.
# ErIn9Rh2 | the Alexandria database | PBE | relaxed
data_ErIn9Rh2
_cell_length_a 12.4083
_cell_length_b 12.4083
_cell_length_c 7.1780
_cell_angle_alpha 90.00
_cell_angle_beta 90.00
_cell_angle_gamma 90.00
_symmetry_space_group_name_H-M 'I 41/a m d'
_symmetry_Int_Tables_number 141
loop_
_symmetry_equiv_pos_as_xyz
'x,y,z'
'-x,-y,-z'
'-y+1/4,x+3/4,z+1/4'
'y+1/4,-x+3/4,-z+1/4'
'-x+1/2,-y,z+1/2'
'x+1/2,y,-z+1/2'
'y+1/4,-x+1/4,z+3/4'
'-y+1/4,x+1/4,-z+3/4'
'x,-y,-z'
'-x,y,z'
'-y+1/4,-x+1/4,-z+3/4'
'y+1/4,x+1/4,z+3/4'
'-x+1/2,y,-z+1/2'
'x+1/2,-y,z+1/2'
'y+1/4,x+3/4,-z+1/4'
'-y+1/4,-x+3/4,z+1/4'
'x+1/2,y+1/2,z+1/2'
'-x+1/2,-y+1/2,-z+1/2'
'-y+3/4,x+1/4,z+3/4'
'y+3/4,-x+1/4,-z+3/4'
'-x,-y+1/2,z'
'x,y+1/2,-z'
'y+3/4,-x+3/4,z+1/4'
'-y+3/4,x+3/4,-z+1/4'
'x+1/2,-y+1/2,-z+1/2'
'-x+1/2,y+1/2,z+1/2'
'-y+3/4,-x+3/4,-z+1/4'
'y+3/4,x+3/4,z+1/4'
'-x,y+1/2,-z'
'x,-y+1/2,z'
'y+3/4,x+1/4,-z+3/4'
'-y+3/4,-x+1/4,z+3/4'
loop_
_atom_site_label
_atom_site_type_symbol
_atom_site_fract_x
_atom_site_fract_y
_atom_site_fract_z
Er1 Er 0.0000 0.2500 0.3750
In1 In 0.0000 0.2500 0.8750
In2 In 0.1201 0.0692 0.6679
Rh1 Rh 0.0000 0.0000 0.0000
# N(E_F) ... 25.2 states/eV per cell
# Raw total energy ... -3.770 eV per atom

---

3.
# MnCdCu2 | the Alexandria database | PBE | relaxed
data_MnCdCu2
_cell_length_a 2.8802
_cell_length_b 4.1391
_cell_length_c 5.2682
_cell_angle_alpha 90.00
_cell_angle_beta 105.34
_cell_angle_gamma 90.00
_symmetry_space_group_name_H-M 'P 1 m 1'
_symmetry_Int_Tables_number 6
loop_
_symmetry_equiv_pos_as_xyz
'x,y,z'
'x,-y,z'
loop_
_atom_site_label
_atom_site_type_symbol
_atom_site_fract_x
_atom_site_fract_y
_atom_site_fract_z
Mn1 Mn 0.0000 0.0000 0.0000
Cd1 Cd 0.6713 0.5000 0.3374
Cu1 Cu 0.2769 0.0000 0.5540
Cu2 Cu 0.4108 0.5000 0.8186
# N(E_F) ... 2.2 states/eV per cell
# Raw total energy ... -4.391 eV per atom

---

4.
# Y2Be3 | the Alexandria database | PBE | relaxed
data_Y2Be3
_cell_length_a 3.6772
_cell_length_b 3.6772
_cell_length_c 7.8113
_cell_angle_alpha 90.00
_cell_angle_beta 90.00
_cell_angle_gamma 120.00
_symmetry_space_group_name_H-M 'P -3 m 1'
_symmetry_Int_Tables_number 164
_symmetry_space_group_name_Hall '-P 3 2"'
loop_
_atom_site_label
_atom_site_type_symbol
_atom_site_fract_x
_atom_site_fract_y
_atom_site_fract_z
Y1 Y 0.3333 0.6667 0.1954
Be1 Be 0.0000 0.0000 0.5000
Be2 Be 0.3333 0.6667 0.5522
# N(E_F) ... 5.1 states/eV per cell
# Relative energy among the computed polymorphs ... 0 meV per atom

---

5.
# KNa6Au3 | the Alexandria database | PBE | relaxed
data_KNa6Au3
_cell_length_a 9.3161
_cell_length_b 4.9896
_cell_length_c 12.8785
_cell_angle_alpha 90.00
_cell_angle_beta 101.97
_cell_angle_gamma 90.00
_symmetry_space_group_name_H-M 'P 1 21/m 1'
_symmetry_Int_Tables_number 11
loop_
_symmetry_equiv_pos_as_xyz
'x,y,z'
'-x,-y,-z'
'-x,y+1/2,-z'
'x,-y+1/2,z'
loop_
_atom_site_label
_atom_site_type_symbol
_atom_site_fract_x
_atom_site_fract_y
_atom_site_fract_z
K1 K 0.0559 0.2500 0.2292
Na1 Na 0.1053 0.2500 0.5655
Na2 Na 0.2430 0.7500 0.0195
Na3 Na 0.3453 0.7500 0.6935
Na4 Na 0.3766 0.7500 0.2731
Na5 Na 0.3823 0.2500 0.8946
Na6 Na 0.3958 0.2500 0.4621
Au1 Au 0.0841 0.2500 0.9760
Au2 Au 0.2211 0.7500 0.4582
Au3 Au 0.3894 0.2500 0.1307
# N(E_F) ... 6.4 states/eV per cell
# Raw total energy ... -2.089 eV per atom

---

6.
# MgUGa2 | the Alexandria database | PBE | relaxed
data_MgUGa2
_cell_length_a 2.8330
_cell_length_b 2.8330
_cell_length_c 9.1702
_cell_angle_alpha 90.00
_cell_angle_beta 90.00
_cell_angle_gamma 90.00
_symmetry_space_group_name_H-M 'P 4/m m m'
_symmetry_Int_Tables_number 123
_symmetry_space_group_name_Hall '-P 4 2'
loop_
_atom_site_label
_atom_site_type_symbol
_atom_site_fract_x
_atom_site_fract_y
_atom_site_fract_z
Mg1 Mg 0.0000 0.0000 0.0000
U1 U 0.0000 0.0000 0.5000
Ga1 Ga 0.5000 0.5000 0.2391
# N(E_F) ... 3.7 states/eV per cell
# Raw total energy ... -4.836 eV per atom

---

7.
# Rb3Mn5S12 | the Alexandria database | PBE | relaxed
data_Rb3Mn5S12
_cell_length_a 15.5815
_cell_length_b 15.5815
_cell_length_c 15.5815
_cell_angle_alpha 90.00
_cell_angle_beta 90.00
_cell_angle_gamma 90.00
_symmetry_space_group_name_H-M 'I a -3 d'
_symmetry_Int_Tables_number 230
_symmetry_space_group_name_Hall '-I 4bd 2c 3'
loop_
_atom_site_label
_atom_site_type_symbol
_atom_site_fract_x
_atom_site_fract_y
_atom_site_fract_z
Rb1 Rb 0.0000 0.2500 0.1250
Mn1 Mn 0.0000 0.0000 0.0000
Mn2 Mn 0.0000 0.2500 0.3750
S1 S 0.0434 0.1446 0.9508
# N(E_F) ... 63.0 states/eV per cell
# ΔE_f (raw) ... -0.47 eV/atom

---

8.
# NaCr2TcIr | the Alexandria database | PBE | relaxed
data_NaCr2TcIr
_cell_length_a 4.1736
_cell_length_b 4.1736
_cell_length_c 4.4060
_cell_angle_alpha 90.00
_cell_angle_beta 90.00
_cell_angle_gamma 90.00
_symmetry_space_group_name_H-M 'P 4/m m m'
_symmetry_Int_Tables_number 123
_symmetry_space_group_name_Hall '-P 4 2'
loop_
_atom_site_label
_atom_site_type_symbol
_atom_site_fract_x
_atom_site_fract_y
_atom_site_fract_z
Na1 Na 0.0000 0.0000 0.0000
Cr1 Cr 0.0000 0.5000 0.0000
Tc1 Tc 0.5000 0.5000 0.5000
Ir1 Ir 0.0000 0.0000 0.5000
# N(E_F) ... 8.5 states/eV per cell
# Raw total energy ... -5.517 eV per atom

---

9.
# Te2MoAu | the Alexandria database | PBE | relaxed
data_Te2MoAu
_cell_length_a 3.6476
_cell_length_b 3.6476
_cell_length_c 7.3406
_cell_angle_alpha 90.00
_cell_angle_beta 90.00
_cell_angle_gamma 90.00
_symmetry_space_group_name_H-M 'P 4 m m'
_symmetry_Int_Tables_number 99
loop_
_symmetry_equiv_pos_as_xyz
'x,y,z'
'-y,x,z'
'-x,-y,z'
'y,-x,z'
'-x,y,z'
'y,x,z'
'x,-y,z'
'-y,-x,z'
loop_
_atom_site_label
_atom_site_type_symbol
_atom_site_fract_x
_atom_site_fract_y
_atom_site_fract_z
Te1 Te 0.0000 0.0000 0.0000
Te2 Te 0.5000 0.5000 0.4550
Mo1 Mo 0.5000 0.5000 0.8254
Au1 Au 0.0000 0.0000 0.6043
# N(E_F) ... 4.1 states/eV per cell
# Relative energy among the computed polymorphs ... 134 meV per atom
# ΔE_f (raw) ... 0.23 eV/atom

---

10.
# In2NiP | the Alexandria database | PBE | relaxed
data_In2NiP
_cell_length_a 3.0668
_cell_length_b 3.0668
_cell_length_c 8.3148
_cell_angle_alpha 90.00
_cell_angle_beta 90.00
_cell_angle_gamma 90.00
_symmetry_space_group_name_H-M 'P 4 m m'
_symmetry_Int_Tables_number 99
loop_
_symmetry_equiv_pos_as_xyz
'x,y,z'
'-y,x,z'
'-x,-y,z'
'y,-x,z'
'-x,y,z'
'y,x,z'
'x,-y,z'
'-y,-x,z'
loop_
_atom_site_label
_atom_site_type_symbol
_atom_site_fract_x
_atom_site_fract_y
_atom_site_fract_z
In1 In 0.0000 0.0000 0.0000
In2 In 0.5000 0.5000 0.3453
Ni1 Ni 0.0000 0.0000 0.6069
P1 P 0.5000 0.5000 0.7098
# N(E_F) ... 1.9 states/eV per cell
# Raw total energy ... -4.183 eV per atom

---

11.
# Rb3Er3TeS8 | the Alexandria database | PBE | relaxed
data_Rb3Er3TeS8
_cell_length_a 7.9939
_cell_length_b 7.9939
_cell_length_c 23.4418
_cell_angle_alpha 90.00
_cell_angle_beta 90.00
_cell_angle_gamma 120.00
_symmetry_space_group_name_H-M 'R -3 m'
_symmetry_Int_Tables_number 166
_symmetry_space_group_name_Hall '-R 3 2"'
loop_
_atom_site_label
_atom_site_type_symbol
_atom_site_fract_x
_atom_site_fract_y
_atom_site_fract_z
Rb1 Rb 0.0000 0.5000 0.0000
Er1 Er 0.0000 0.5000 0.5000
Te1 Te 0.0000 0.0000 0.5000
S1 S 0.0000 0.0000 0.2294
S2 S 0.0052 0.5026 0.2289
# N(E_F) ... 0.0 states/eV per cell
# ΔE_f (raw) ... -1.49 eV/atom

---

12.
# Rh7Au | the Alexandria database | PBE | relaxed
data_Rh7Au
_cell_length_a 7.7645
_cell_length_b 7.7645
_cell_length_c 7.7645
_cell_angle_alpha 90.00
_cell_angle_beta 90.00
_cell_angle_gamma 90.00
_symmetry_space_group_name_H-M 'F m -3 m'
_symmetry_Int_Tables_number 225
_symmetry_space_group_name_Hall '-F 4 2 3'
loop_
_atom_site_label
_atom_site_type_symbol
_atom_site_fract_x
_atom_site_fract_y
_atom_site_fract_z
Rh1 Rh 0.0000 0.0000 0.0000
Rh2 Rh 0.0000 0.2500 0.2500
Au1 Au 0.0000 0.0000 0.5000
# N(E_F) ... 57.8 states/eV per cell
# Raw total energy ... -6.738 eV per atom